Hf2CdSn: relaxed, PBE.

a b c (Å): 3.1831 3.1831 10.3116
angles (deg): 81.12 81.12 60.00
Closest atoms and distances in Å follow each position.
Atoms (fractional coordinates):
Hf  0.7494  0.7494  0.7517  3 Sn 3.12, 3 Cd 3.15, 6 Hf 3.18
Hf  0.2506  0.2506  0.2483  3 Sn 3.12, 3 Cd 3.15, 6 Hf 3.18
Cd  0.5000  0.5000  0.5000  6 Hf 3.15, 6 Cd 3.18
Sn  0.0000  0.0000  0.0000  6 Hf 3.12, 6 Sn 3.18

Space group   R-3m
E_tot   -6.251 eV/atom
Calculated density   10.97 g/cm³
Distance to the lowest polymorph of the same formula   119 meV/atom